[1]
This record from Alexandria describes AgIrAu after structural relaxation. The functional is GGA-PBEsol.

Summary:
* raw total energy: -16.32 eV per formula unit
* formation energy: 244.7 meV per atom
* N(E_F): 0.934 states/eV per atom
* symmetry: P3m1

Lattice parameters (Å, degrees): 2.772 2.772 7.054 90.00 90.00 120.00
Sites, in units of the cell vectors:
Ag 0.000 0.000 0.000
Ir 0.667 0.333 0.329
Au 0.333 0.667 0.662

[2]
This record from Alexandria describes Cu2HgTe2 after structural relaxation. The functional is GGA-PBEsol.

Summary:
* raw total energy: -16.41 eV per formula unit
* E_form (uncorrected): -2.3 kJ per mole of atoms
* N(E_F): 0.332 states/eV per atom
* symmetry: I4/mmm

Lattice parameters (Å, degrees): 8.274 8.274 8.274 153.74 153.74 37.48
Sites, in units of the cell vectors:
Cu 0.250 0.750 0.500
Cu 0.750 0.250 0.500
Hg 0.000 0.000 0.000
Te 0.364 0.364 0.000
Te 0.636 0.636 0.000